VASP calculation (GGA+U) on a relaxed structure of MgMoOF2.

Properties
The calculation puts the volume at 15.27 A^3/atom. The calculation puts the total energy at -25.464 eV per cell. Its density of states at the Fermi level is 0.434 states/eV/atom. Its polymorph energy (0 for the lowest one) is 428 meV/atom.

The structure in CIF format:
```
data_MgMoOF2
_space_group_name_H-M_alt 'P 4/m m m'
_space_group_IT_number 123
_space_group_name_Hall '-P 4 2'
_cell_length_a 4.267
_cell_length_b 4.267
_cell_length_c 4.194
_cell_angle_alpha 90.00
_cell_angle_beta 90.00
_cell_angle_gamma 90.00
loop_
_atom_site_label
_atom_site_fract_x
_atom_site_fract_y
_atom_site_fract_z
Mg1 0.000 0.000 0.000
Mo1 0.500 0.500 0.500
O1 0.500 0.500 0.000
F1 0.000 0.500 0.500
```